Model 1:
Compound: CrBi2Rh
Source: the Alexandria database
Functional: PBE
Structure: relaxed

a = 7.397 Å, b = 7.397 Å, c = 6.160 Å
α = 53.10°, β = 53.10°, γ = 90.00°
Fractional coordinates of all 8 atoms:
Cr: 0.500 0.500 0.000
Cr: 0.250 0.750 0.500
Rh: 0.000 0.000 0.000
Rh: 0.750 0.250 0.500
Bi: 0.628 0.125 0.250
Bi: 0.122 0.625 0.250
Bi: 0.375 0.372 0.750
Bi: 0.875 0.878 0.750

- DOS at the Fermi energy (states/eV/cell) = 13.28
- V (A^3/atom) = 22.250
- density (g/cm³) = 10.69


Model 2:
Compound: CrBi2Rh
Source: the Alexandria database
Functional: PBE
Structure: relaxed

a = 4.808 Å, b = 4.808 Å, c = 4.808 Å
α = 60.00°, β = 60.00°, γ = 60.00°
Fractional coordinates of all 4 atoms:
Cr: 0.000 0.000 0.000
Rh: 0.500 0.500 0.500
Bi: 0.250 0.250 0.250
Bi: 0.750 0.750 0.750

- DOS at the Fermi energy (states/eV/cell) = 3.98
- V (A^3/atom) = 19.652
- density (g/cm³) = 12.10


Stability summary: most stable model 2, least stable model 1.


Model 1:
Compound: Cr2Bi2S
Source: the Alexandria database
Functional: PBE
Structure: relaxed

a = 8.050 Å, b = 8.050 Å, c = 3.496 Å
α = 90.00°, β = 90.00°, γ = 90.00°
Fractional coordinates of all 10 atoms:
Cr: 0.081 0.581 0.500
Cr: 0.581 0.919 0.500
Cr: 0.919 0.419 0.500
Cr: 0.419 0.081 0.500
S: 0.000 0.000 0.000
S: 0.500 0.500 0.000
Bi: 0.300 0.800 0.000
Bi: 0.800 0.700 0.000
Bi: 0.700 0.200 0.000
Bi: 0.200 0.300 0.000

- DOS at the Fermi energy (states/eV/cell) = 11.40
- V (A^3/atom) = 22.650
- density (g/cm³) = 8.12


Model 2:
Compound: Cr2Bi2S
Source: the Alexandria database
Functional: PBE
Structure: relaxed

a = 3.416 Å, b = 3.416 Å, c = 8.913 Å
α = 78.95°, β = 78.95°, γ = 90.00°
Fractional coordinates of all 5 atoms:
Cr: 0.750 0.250 0.500
Cr: 0.250 0.750 0.500
S: 0.000 0.000 0.000
Bi: 0.388 0.388 0.225
Bi: 0.612 0.612 0.775

- DOS at the Fermi energy (states/eV/cell) = 6.58
- V (A^3/atom) = 20.023
- density (g/cm³) = 9.19


Stability summary: most stable model 2, least stable model 1.


Model 1:
Compound: Cr3BiS
Source: the Alexandria database
Functional: PBE
Structure: relaxed

a = 5.247 Å, b = 5.247 Å, c = 5.247 Å
α = 90.00°, β = 90.00°, γ = 90.00°
Fractional coordinates of all 5 atoms:
Cr: 0.000 0.500 0.000
Cr: 0.000 0.000 0.500
Cr: 0.500 0.000 0.000
S: 0.500 0.500 0.500
Bi: 0.000 0.000 0.000

- DOS at the Fermi energy (states/eV/cell) = 4.51
- V (A^3/atom) = 28.894
- density (g/cm³) = 4.56


Model 2:
Compound: Cr3BiS
Source: the Alexandria database
Functional: PBE
Structure: relaxed

a = 4.270 Å, b = 4.270 Å, c = 4.270 Å
α = 90.00°, β = 90.00°, γ = 90.00°
Fractional coordinates of all 5 atoms:
Cr: 0.000 0.500 0.000
Cr: 0.000 0.000 0.500
Cr: 0.500 0.000 0.000
S: 0.000 0.000 0.000
Bi: 0.500 0.500 0.500

- DOS at the Fermi energy (states/eV/cell) = 7.72
- V (A^3/atom) = 15.566
- density (g/cm³) = 8.47


Stability summary: most stable model 2, least stable model 1.


Model 1:
Compound: CrBi3S
Source: the Alexandria database
Functional: PBE
Structure: relaxed

a = 5.101 Å, b = 5.101 Å, c = 5.101 Å
α = 90.00°, β = 90.00°, γ = 90.00°
Fractional coordinates of all 5 atoms:
Cr: 0.000 0.000 0.000
S: 0.500 0.500 0.500
Bi: 0.000 0.500 0.000
Bi: 0.000 0.000 0.500
Bi: 0.500 0.000 0.000

- DOS at the Fermi energy (states/eV/cell) = 3.72
- V (A^3/atom) = 26.548
- density (g/cm³) = 8.89


Model 2:
Compound: CrBi3S
Source: the Alexandria database
Functional: PBE
Structure: relaxed

a = 5.371 Å, b = 5.371 Å, c = 5.371 Å
α = 90.00°, β = 90.00°, γ = 90.00°
Fractional coordinates of all 5 atoms:
Cr: 0.500 0.500 0.500
S: 0.000 0.000 0.000
Bi: 0.000 0.500 0.000
Bi: 0.000 0.000 0.500
Bi: 0.500 0.000 0.000

- DOS at the Fermi energy (states/eV/cell) = 3.42
- V (A^3/atom) = 30.984
- density (g/cm³) = 7.62


Stability summary: most stable model 1, least stable model 2.


Model 1:
Compound: Cr3BiSb
Source: the Alexandria database
Functional: PBE
Structure: relaxed

a = 5.209 Å, b = 5.209 Å, c = 5.209 Å
α = 90.00°, β = 90.00°, γ = 90.00°
Fractional coordinates of all 5 atoms:
Sb: 0.500 0.500 0.500
Bi: 0.000 0.000 0.000
Cr: 0.000 0.500 0.000
Cr: 0.000 0.000 0.500
Cr: 0.500 0.000 0.000

- DOS at the Fermi energy (states/eV/cell) = 1.55
- V (A^3/atom) = 28.272
- density (g/cm³) = 5.72


Model 2:
Compound: Cr3BiSb
Source: the Alexandria database
Functional: PBE
Structure: relaxed

a = 5.116 Å, b = 5.116 Å, c = 5.116 Å
α = 90.00°, β = 90.00°, γ = 90.00°
Fractional coordinates of all 5 atoms:
Sb: 0.000 0.000 0.000
Bi: 0.500 0.500 0.500
Cr: 0.000 0.500 0.000
Cr: 0.000 0.000 0.500
Cr: 0.500 0.000 0.000

- DOS at the Fermi energy (states/eV/cell) = 1.40
- V (A^3/atom) = 26.777
- density (g/cm³) = 6.04


Stability summary: most stable model 2, least stable model 1.


Model 1:
Compound: CrBiSb2Te
Source: the Alexandria database
Functional: PBE
Structure: relaxed

a = 5.782 Å, b = 5.782 Å, c = 5.976 Å
α = 90.00°, β = 90.00°, γ = 90.00°
Fractional coordinates of all 5 atoms:
Sb: 0.000 0.500 0.000
Sb: 0.500 0.000 0.000
Te: 0.000 0.000 0.500
Bi: 0.000 0.000 0.000
Cr: 0.500 0.500 0.500

- DOS at the Fermi energy (states/eV/cell) = 3.69
- V (A^3/atom) = 39.960
- density (g/cm³) = 5.25


Model 2:
Compound: CrBiSb2Te
Source: the Alexandria database
Functional: PBE
Structure: relaxed

a = 5.149 Å, b = 5.149 Å, c = 5.022 Å
α = 90.00°, β = 90.00°, γ = 90.00°
Fractional coordinates of all 5 atoms:
Sb: 0.000 0.500 0.000
Sb: 0.500 0.000 0.000
Te: 0.000 0.000 0.500
Bi: 0.500 0.500 0.500
Cr: 0.000 0.000 0.000

- DOS at the Fermi energy (states/eV/cell) = 6.54
- V (A^3/atom) = 26.625
- density (g/cm³) = 7.88


Stability summary: most stable model 2, least stable model 1.


Model 1:
Compound: Sc3CrBi
Source: the Alexandria database
Functional: PBE
Structure: relaxed

a = 4.911 Å, b = 4.911 Å, c = 4.911 Å
α = 90.00°, β = 90.00°, γ = 90.00°
Fractional coordinates of all 5 atoms:
Sc: 0.000 0.500 0.000
Sc: 0.000 0.000 0.500
Sc: 0.500 0.000 0.000
Cr: 0.000 0.000 0.000
Bi: 0.500 0.500 0.500

- DOS at the Fermi energy (states/eV/cell) = 5.51
- V (A^3/atom) = 23.682
- density (g/cm³) = 5.55


Model 2:
Compound: Sc3CrBi
Source: the Alexandria database
Functional: PBE
Structure: relaxed

a = 5.436 Å, b = 5.436 Å, c = 5.436 Å
α = 90.00°, β = 90.00°, γ = 90.00°
Fractional coordinates of all 5 atoms:
Sc: 0.000 0.500 0.000
Sc: 0.000 0.000 0.500
Sc: 0.500 0.000 0.000
Cr: 0.500 0.500 0.500
Bi: 0.000 0.000 0.000

- DOS at the Fermi energy (states/eV/cell) = 7.61
- V (A^3/atom) = 32.124
- density (g/cm³) = 4.09


Stability summary: most stable model 1, least stable model 2.